[1]
A relaxed Li2BeGe crystal, computed with PBE.

Structure (extended XYZ):
```
16
Lattice="-1.6913 7.1987 0.5983 -2.2343 -0.2657 -3.1191 -5.6033 -5.7117 4.5002" Properties=species:S:1:pos:R:3 pbc="T T T"
Be -4.0798 4.3763 2.5496
Be -5.3676 -4.6103 4.2376
Be -7.9986 1.3876 3.2401
Be -3.6831 -1.8873 0.4279
Li -1.9060 2.7442 1.1315
Li -3.4528 0.7297 0.0400
Li -2.5791 4.4808 -0.9053
Li -1.0623 -0.8875 0.8365
Li -4.9811 -3.8762 1.5271
Li -4.2636 1.7578 2.9043
Li -5.1373 -1.9933 3.8497
Li -5.8248 -0.2445 1.8220
Ge -6.2455 0.4583 4.4346
Ge -7.0918 -3.6667 3.0211
Ge -4.5610 3.1813 0.6250
Ge -3.1730 -0.6780 2.3306
```

Values from the calculation:
Offset from the most stable computed form ... 0.05 eV per formula unit
D(E_F) ... 0.1072 states/eV/atom
DFT formation energy ... -0.201 eV/atom
VASP energy ... -51.9 eV per cell

---

[2]
A relaxed Li2BeGe crystal, computed with PBE.

Structure (extended XYZ):
```
8
Lattice="-4.5759 -0.5421 -1.5047 0.4527 -3.8758 0.0195 -1.3009 -0.1220 5.9496" Properties=species:S:1:pos:R:3 pbc="T T T"
Li -2.4962 -3.2162 4.3661
Li -3.8092 -3.3830 1.6946
Li -1.6148 -1.1569 2.7698
Li -2.9278 -1.3237 0.0984
Ge -4.3510 -1.4734 3.3855
Ge -1.0730 -3.0665 1.0789
Be -0.4201 -1.0306 0.1412
Be -5.0039 -3.5093 4.3232
```

Values from the calculation:
Offset from the most stable computed form ... 0.03 eV per formula unit
D(E_F) ... 0.1828 states/eV/atom
DFT formation energy ... -0.206 eV/atom
VASP energy ... -26.0 eV per cell

---

[3]
A relaxed LiBeGe2 crystal, computed with PBE.

Structure (extended XYZ):
```
8
Lattice="4.0284 0.0000 0.0000 0.0000 4.0284 0.0000 2.0142 2.0142 7.9015" Properties=species:S:1:pos:R:3 pbc="T T T"
Li 2.0142 2.0142 0.0000
Li 2.0142 4.0284 3.9507
Be 0.0000 0.0000 0.0000
Be 4.0284 2.0142 3.9507
Ge 3.1345 1.0071 1.9754
Ge 0.8940 3.0213 1.9754
Ge 3.0213 2.9082 5.9261
Ge 5.0355 5.1487 5.9261
```

Values from the calculation:
D(E_F) ... 0.3180 states/eV/atom
DFT formation energy ... 0.167 eV/atom
VASP energy ... -28.4 eV per cell

---

[4]
A relaxed Li2BeGe crystal, computed with PBE.

Structure (extended XYZ):
```
12
Lattice="-0.9529 -3.5634 -1.5050 0.5529 0.4223 3.9226 -12.0239 2.6186 1.4128" Properties=species:S:1:pos:R:3 pbc="T T T"
Li -0.7574 -2.1681 0.3402
Li -8.3223 1.8124 0.9778
Li -3.3923 -1.5943 0.6498
Li -6.8984 0.6072 2.9299
Li -10.9573 2.3863 1.2874
Li -4.2634 0.0333 2.6203
Ge -9.6478 1.2060 3.2530
Ge -6.1418 -0.9955 0.9728
Ge -1.6829 0.3665 0.1977
Be -10.0583 -0.1426 1.4330
Be -5.5993 1.2194 0.6579
Be -1.5404 -0.5597 2.3004
```

Values from the calculation:
Offset from the most stable computed form ... 0.00 eV per formula unit
D(E_F) ... 0.1559 states/eV/atom
DFT formation energy ... -0.213 eV/atom
VASP energy ... -39.1 eV per cell

---

[5]
A relaxed Li2BeGe2 crystal, computed with PBE.

Structure (extended XYZ):
```
10
Lattice="-4.6151 -0.8256 2.4707 2.6390 -1.1126 4.5577 0.7919 6.2995 -2.0994" Properties=species:S:1:pos:R:3 pbc="T T T"
Li -0.4866 0.6432 4.9896
Li -1.8660 2.8250 3.1422
Li -0.6976 3.7181 -0.0606
Li 0.6817 1.5363 1.7869
Ge -1.8526 0.2241 2.2979
Ge -3.3063 4.4273 0.9870
Ge 0.6684 4.1372 2.6311
Ge 2.1221 -0.0660 3.9420
Be 0.1657 -0.7627 2.8965
Be -2.1418 -1.1755 4.1319
```

Values from the calculation:
Offset from the most stable computed form ... 0.10 eV per formula unit
D(E_F) ... 0.4229 states/eV/atom
DFT formation energy ... -0.087 eV/atom
VASP energy ... -34.4 eV per cell

---

[6]
A relaxed LiBeGe crystal, computed with PBE.

Structure (extended XYZ):
```
3
Lattice="-2.0341 1.2798 3.0704 -0.1546 -2.1310 3.2615 1.8619 1.2056 3.2066" Properties=species:S:1:pos:R:3 pbc="T T T"
Be -0.0817 0.0886 2.3846
Li -0.1634 0.1772 4.7692
Ge 0.0000 0.0000 0.0000
```

Values from the calculation:
Offset from the most stable computed form ... 0.26 eV per formula unit
D(E_F) ... 0.5660 states/eV/atom
DFT formation energy ... -0.026 eV/atom
VASP energy ... -10.3 eV per cell

---

[7]
A relaxed LiBe3Ge crystal, computed with PBE.

Structure (extended XYZ):
```
5
Lattice="-1.5289 3.5705 1.7851 -2.8396 -2.3163 2.2009 2.8057 -0.3986 3.2003" Properties=species:S:1:pos:R:3 pbc="T T T"
Be -0.7645 1.7853 0.8926
Be 1.4028 -0.1993 1.6002
Be -1.4198 -1.1582 1.1005
Li -0.7815 0.4278 3.5932
Ge 0.0000 0.0000 0.0000
```

Values from the calculation:
Offset from the most stable computed form ... 0.00 eV per formula unit
D(E_F) ... 0.4939 states/eV/atom
DFT formation energy ... 0.832 eV/atom
VASP energy ... -13.6 eV per cell

---

[8]
A relaxed LiBeGe crystal, computed with PBE.

Structure (extended XYZ):
```
6
Lattice="-0.0518 2.3552 2.7132 -3.4725 -0.0717 -0.0041 0.1011 -5.1491 4.4692" Properties=species:S:1:pos:R:3 pbc="T T T"
Be -0.8063 -3.3771 6.4820
Be -2.6168 0.5114 0.6963
Ge -0.8033 -3.3879 4.1118
Ge -2.6198 0.5222 3.0665
Li -2.5793 -1.5430 4.8553
Li -0.8439 -1.3226 2.3230
```

Values from the calculation:
Offset from the most stable computed form ... 0.00 eV per formula unit
D(E_F) ... 0.1835 states/eV/atom
DFT formation energy ... -0.112 eV/atom
VASP energy ... -21.2 eV per cell

---

[9]
A relaxed Li2Be2Ni5Ge crystal, computed with PBE.

Structure (extended XYZ):
```
20
Lattice="3.1244 0.0000 0.0000 0.0000 8.4737 0.0000 0.0000 0.0000 8.4737" Properties=species:S:1:pos:R:3 pbc="T T T"
Li 0.0000 2.7600 6.9969
Li 0.0000 6.9969 5.7137
Li 0.0000 1.4768 2.7600
Li 0.0000 5.7137 1.4768
Ni 1.5622 1.7776 0.5871
Ni 1.5622 7.8866 1.7776
Ni 1.5622 4.2368 0.0000
Ni 1.5622 0.0000 4.2368
Ni 1.5622 4.8239 6.0144
Ni 1.5622 3.6498 2.4593
Ni 1.5622 6.0144 3.6498
Ni 1.5622 0.5871 6.6961
Ni 1.5622 6.6961 7.8866
Ni 1.5622 2.4593 4.8239
Be 0.0000 7.4361 3.1993
Be 0.0000 3.1993 1.0375
Be 0.0000 5.2744 7.4361
Be 0.0000 1.0375 5.2744
Ge 0.0000 4.2368 4.2368
Ge 0.0000 0.0000 0.0000
```

Values from the calculation:
D(E_F) ... 0.4786 states/eV/atom
DFT formation energy ... -0.211 eV/atom
VASP energy ... -93.8 eV per cell

---

[10]
A relaxed Li2Be2GeO6 crystal, computed with PBE.

Structure (extended XYZ):
```
11
Lattice="-1.5325 0.7583 -4.4343 2.3033 -4.0187 1.0635 -4.1491 -2.0933 1.0759" Properties=species:S:1:pos:R:3 pbc="T T T"
Be 1.0229 -2.4273 -0.7686
Be -4.4011 -2.9264 -1.5262
O -3.3342 -3.5327 -2.8824
O -0.0440 -1.8210 0.5876
O 0.9275 -4.1807 -0.2571
O -4.3057 -1.1730 -2.0378
O -0.3402 -2.5543 -1.9815
O -3.0381 -2.7994 -0.3134
Li -2.3273 -1.8801 -2.0640
Li -1.0509 -3.4736 -0.2308
Ge 0.0000 0.0000 0.0000
```

Values from the calculation:
Formation energy from raw total energies ... -1.667 eV/atom
D(E_F) ... 0.4709 states/eV/atom
VASP energy ... -64.0 eV per cell

---

[11]
A relaxed LiBe2GeO4 crystal, computed with PBE.

Structure (extended XYZ):
```
8
Lattice="4.0971 0.1603 0.1263 -0.1801 4.0963 0.1263 -1.8292 -1.9878 4.2435" Properties=species:S:1:pos:R:3 pbc="T T T"
O 3.1336 1.2695 1.4043
O -0.9191 -0.9987 2.9164
O 1.0261 1.1150 3.2238
O 1.0052 3.2281 1.4043
Be 2.1474 0.1513 2.2447
Be -0.0274 2.1525 2.2447
Li 3.8995 4.2376 0.2528
Ge 1.8738 2.0363 0.1784
```

Values from the calculation:
Formation energy from raw total energies ... -1.974 eV/atom
D(E_F) ... 0.2671 states/eV/atom
VASP energy ... -49.6 eV per cell

---

[12]
A relaxed LiBeGe2O6 crystal, computed with PBE.

Structure (extended XYZ):
```
20
Lattice="-1.0648 -0.7885 4.9413 -3.3736 -6.9310 0.7774 6.5145 -1.9761 3.6988" Properties=species:S:1:pos:R:3 pbc="T T T"
O -0.2137 -6.4537 3.9037
O -0.4697 -3.0970 4.5132
O 1.0911 -2.1874 2.3464
O 2.5459 -6.5987 4.9042
O -0.6063 -4.5657 2.0302
O 0.9850 -7.5083 7.0710
O 2.2899 -3.2420 5.5137
O -2.5968 -5.6732 3.5309
O 4.6730 -4.0225 5.8865
O -2.4291 -7.7089 6.4161
O 4.5053 -1.9868 3.0013
O 2.6824 -5.1300 7.3872
Ge -0.4493 -2.9650 2.7389
Ge 1.3754 -7.1795 3.7108
Ge 0.7008 -2.5162 5.7066
Ge 2.5255 -6.7307 6.6785
Li 3.7879 -3.4062 4.2072
Li -1.7118 -6.2895 5.2102
Be 3.2768 -3.7898 6.6841
Be -1.2007 -5.9059 2.7333
```

Values from the calculation:
Formation energy from raw total energies ... -1.761 eV/atom
D(E_F) ... 0.3180 states/eV/atom
VASP energy ... -124.5 eV per cell